No. 1
Below is an optimized crystal structure of TbNd2Nb, with properties calculated at the PBE level.

```
TbNd2Nb
1.0
1.6819 0.9710 11.8188
-1.6819 0.9710 11.8188
0.0000 -1.9421 11.8188
Tb Nd Nb
1 2 1
Direct
0.0000 0.0000 0.0000
0.4177 0.4177 0.4177
0.5823 0.5823 0.5823
0.5000 0.5000 0.5000
```

Output
Spin magnetization, μB per formula unit: 0.00
Space-group type: R-3m (166)
Formation energy, eV per atom: 0.582

=====

No. 2
Below is an optimized crystal structure of Tb2NdNb, with properties calculated at the PBE level.

```
Tb2NdNb
1.0
1.6649 0.9612 11.7966
-1.6649 0.9612 11.7966
0.0000 -1.9224 11.7966
Tb Nd Nb
2 1 1
Direct
0.0817 0.0817 0.0817
0.9183 0.9183 0.9183
0.5000 0.5000 0.5000
0.0000 0.0000 0.0000
```

Output
Spin magnetization, μB per formula unit: 0.41
Space-group type: R-3m (166)
Formation energy, eV per atom: 0.563

=====

No. 3
Below is an optimized crystal structure of TbNdNb, with properties calculated at the PBE level.

```
TbNdNb
1.0
1.7391 -13.9310 0.0000
1.7391 13.9310 0.0000
0.0000 0.0000 3.5131
Tb Nd Nb
2 2 2
Direct
0.0532 0.9468 0.7500
0.9468 0.0532 0.2500
0.3505 0.6495 0.7500
0.6495 0.3505 0.2500
0.2268 0.7732 0.7500
0.7732 0.2268 0.2500
```

Output
Spin magnetization, μB per formula unit: 0.00
Space-group type: Cmcm (63)
Formation energy, eV per atom: 0.233

=====

No. 4
Below is an optimized crystal structure of NdNbTc, with properties calculated at the PBE level.

```
NdNbTc
1.0
0.0000 6.8013 7.1519
2.7587 0.0000 7.1519
2.7587 6.8013 0.0000
Nd Nb Tc
4 4 4
Direct
0.0169 0.7640 0.2360
0.2360 0.9831 0.0169
0.7640 0.0169 0.9831
0.9831 0.2360 0.7640
0.3030 0.3030 0.6970
0.3916 0.6084 0.3916
0.6084 0.3916 0.6084
0.6970 0.6970 0.3030
0.1405 0.5064 0.4936
0.4936 0.8595 0.1405
0.5064 0.1405 0.8595
0.8595 0.4936 0.5064
```

Output
Spin magnetization, μB per formula unit: 0.00
Space-group type: Fmmm (69)
Formation energy, eV per atom: 0.512

=====

No. 5
Below is an optimized crystal structure of NdNb4Te8, with properties calculated at the PBE level.

```
NdNb4Te8
1.0
6.5771 -3.7932 0.0000
6.5771 3.7932 0.0000
-3.0159 0.0000 7.6960
Nd Nb Te
1 4 8
Direct
0.0000 0.0000 0.0000
0.4318 0.8360 0.4954
0.4393 0.4393 0.4967
0.8360 0.4318 0.4954
0.9035 0.9035 0.4989
0.1217 0.1217 0.7174
0.1258 0.6018 0.7057
0.1710 0.6748 0.2434
0.2025 0.2025 0.3267
0.6018 0.1258 0.7057
0.6366 0.6366 0.7756
0.6748 0.1710 0.2434
0.6805 0.6805 0.2503
```

Output
Spin magnetization, μB per formula unit: 0.00
E_form (uncorrected), eV per atom: -0.59
Space-group type: Cm (8)

=====

No. 6
Below is an optimized crystal structure of NdNbTe, with properties calculated at the PBE level.

```
NdNbTe
1.0
4.1264 0.0000 0.0000
0.0000 4.1264 0.0000
0.0000 0.0000 9.6936
Nd Nb Te
2 2 2
Direct
0.2500 0.2500 0.2306
0.7500 0.7500 0.7694
0.2500 0.2500 0.5494
0.7500 0.7500 0.4506
0.2500 0.2500 0.8656
0.7500 0.7500 0.1344
```

Output
Spin magnetization, μB per formula unit: 0.00
E_form (uncorrected), eV per atom: -0.47
Space-group type: P4/nmm (129)

=====

No. 7
Below is an optimized crystal structure of NdTh2Nb, with properties calculated at the PBE level.

```
NdTh2Nb
1.0
1.6768 0.9681 11.9120
-1.6768 0.9681 11.9120
0.0000 -1.9362 11.9120
Nd Th Nb
1 2 1
Direct
0.0000 0.0000 0.0000
0.0934 0.0934 0.0934
0.9066 0.9066 0.9066
0.5000 0.5000 0.5000
```

Output
Energy relative to the lowest polymorph listed for this composition, meV/atom: 273
Spin magnetization, μB per formula unit: 0.00
Space-group type: R-3m (166)
Formation energy, eV per atom: 0.450

=====

No. 8
Below is an optimized crystal structure of Nd2ThNb, with properties calculated at the PBE level.

```
Nd2ThNb
1.0
1.6838 0.9721 11.9431
-1.6838 0.9721 11.9431
0.0000 -1.9443 11.9431
Nd Th Nb
2 1 1
Direct
0.0821 0.0821 0.0821
0.9179 0.9179 0.9179
0.5000 0.5000 0.5000
0.0000 0.0000 0.0000
```

Output
Spin magnetization, μB per formula unit: 0.64
Space-group type: R-3m (166)
Formation energy, eV per atom: 0.604